A plane-wave DFT calculation with PBE was carried out for a geometry-optimized Er2TmTc structure.

It has space group Cmcm (No. 63), with a = 3.828 Å, b = 11.804 Å, c = 9.056 Å, α = 90.00°, β = 90.00° and γ = 90.00°. The distinct sites, in fractional coordinates, are Er at (0.000, 0.143, 0.065), Tm at (0.000, 0.429, 0.250) and Tc at (0.000, 0.239, 0.750).

As for the formation enthalpy at 0 K: -0.138 eV/atom.